Entry 1:
# CeMg2Ge2Pt | the Alexandria database | PBE | relaxed
data_CeMg2Ge2Pt
_cell_length_a 4.243
_cell_length_b 4.243
_cell_length_c 16.360
_cell_angle_alpha 90.00
_cell_angle_beta 90.00
_cell_angle_gamma 90.00
_symmetry_space_group_name_H-M 'I 4/m m m'
_symmetry_Int_Tables_number 139
_symmetry_space_group_name_Hall '-I 4 2'
loop_
_atom_site_label
_atom_site_type_symbol
_atom_site_fract_x
_atom_site_fract_y
_atom_site_fract_z
Ce1 Ce 0.000 0.000 0.000
Mg1 Mg 0.000 0.500 0.250
Ge1 Ge 0.000 0.000 0.353
Pt1 Pt 0.000 0.000 0.500
# Electronic total energy (eV/cell): -52.92


Entry 2:
# NbTe2As | the Alexandria database | PBE | relaxed
data_NbTe2As
_cell_length_a 3.6787
_cell_length_b 3.6787
_cell_length_c 27.5089
_cell_angle_alpha 90.00
_cell_angle_beta 90.00
_cell_angle_gamma 120.00
_symmetry_space_group_name_H-M 'R -3 m'
_symmetry_Int_Tables_number 166
_symmetry_space_group_name_Hall '-R 3 2"'
loop_
_atom_site_label
_atom_site_type_symbol
_atom_site_fract_x
_atom_site_fract_y
_atom_site_fract_z
Nb1 Nb 0.0000 0.0000 0.0000
Te1 Te 0.0000 0.0000 0.0970
As1 As 0.0000 0.0000 0.5000
# Electronic total energy (eV/cell): -54.83


Entry 3:
# BeAg3 | the Alexandria database | PBE | relaxed
data_BeAg3
_cell_length_a 2.966
_cell_length_b 3.994
_cell_length_c 5.495
_cell_angle_alpha 90.00
_cell_angle_beta 103.89
_cell_angle_gamma 90.00
_symmetry_space_group_name_H-M 'P 1 2/m 1'
_symmetry_Int_Tables_number 10
loop_
_symmetry_equiv_pos_as_xyz
'x,y,z'
'-x,-y,-z'
'-x,y,-z'
'x,-y,z'
loop_
_atom_site_label
_atom_site_type_symbol
_atom_site_fract_x
_atom_site_fract_y
_atom_site_fract_z
Be1 Be 0.000 0.000 0.000
Ag1 Ag 0.000 0.000 0.500
Ag2 Ag 0.380 0.500 0.226
# Electronic total energy (eV/cell): -11.49


Entry 4:
# La3Er2Pb3 | the Alexandria database | PBE | relaxed
data_La3Er2Pb3
_cell_length_a 9.3968
_cell_length_b 9.3968
_cell_length_c 6.7758
_cell_angle_alpha 90.00
_cell_angle_beta 90.00
_cell_angle_gamma 120.00
_symmetry_space_group_name_H-M 'P 63/m c m'
_symmetry_Int_Tables_number 193
_symmetry_space_group_name_Hall '-P 6c 2'
loop_
_atom_site_label
_atom_site_type_symbol
_atom_site_fract_x
_atom_site_fract_y
_atom_site_fract_z
La1 La 0.0000 0.2434 0.2500
Er1 Er 0.3333 0.6667 0.0000
Pb1 Pb 0.0000 0.3983 0.7500
# Electronic total energy (eV/cell): -78.68


Entry 5:
# CaGeMo2N | the Alexandria database | PBE | relaxed
data_CaGeMo2N
_cell_length_a 4.090
_cell_length_b 4.090
_cell_length_c 5.084
_cell_angle_alpha 90.00
_cell_angle_beta 90.00
_cell_angle_gamma 90.00
_symmetry_space_group_name_H-M 'P 4/m m m'
_symmetry_Int_Tables_number 123
_symmetry_space_group_name_Hall '-P 4 2'
loop_
_atom_site_label
_atom_site_type_symbol
_atom_site_fract_x
_atom_site_fract_y
_atom_site_fract_z
Ca1 Ca 0.000 0.000 0.000
Ge1 Ge 0.500 0.500 0.000
Mo1 Mo 0.000 0.500 0.500
N1 N 0.500 0.500 0.500
# Electronic total energy (eV/cell): -35.81


Entry 6:
# Pr2DyAs4Rh3 | the Alexandria database | PBE | relaxed
data_Pr2DyAs4Rh3
_cell_length_a 4.352
_cell_length_b 4.352
_cell_length_c 10.884
_cell_angle_alpha 90.00
_cell_angle_beta 90.00
_cell_angle_gamma 90.00
_symmetry_space_group_name_H-M 'P -4 m 2'
_symmetry_Int_Tables_number 115
loop_
_symmetry_equiv_pos_as_xyz
'x,y,z'
'y,-x,-z'
'-x,-y,z'
'-y,x,-z'
'-x,y,z'
'-y,-x,-z'
'x,-y,z'
'y,x,-z'
loop_
_atom_site_label
_atom_site_type_symbol
_atom_site_fract_x
_atom_site_fract_y
_atom_site_fract_z
Pr1 Pr 0.000 0.500 0.222
Dy1 Dy 0.000 0.000 0.500
As1 As 0.000 0.000 0.000
As2 As 0.000 0.500 0.662
As3 As 0.500 0.500 0.000
Rh1 Rh 0.000 0.500 0.891
Rh2 Rh 0.500 0.500 0.500
# Electronic total energy (eV/cell): -64.55


Entry 7:
# OsSe3I | the Alexandria database | PBE | relaxed
data_OsSe3I
_cell_length_a 5.050
_cell_length_b 7.952
_cell_length_c 9.088
_cell_angle_alpha 78.50
_cell_angle_beta 75.14
_cell_angle_gamma 83.57
_symmetry_space_group_name_H-M 'P -1'
_symmetry_Int_Tables_number 2
loop_
_symmetry_equiv_pos_as_xyz
'x,y,z'
'-x,-y,-z'
loop_
_atom_site_label
_atom_site_type_symbol
_atom_site_fract_x
_atom_site_fract_y
_atom_site_fract_z
Os1 Os 0.228 0.328 0.096
Se1 Se 0.171 0.295 0.356
Se2 Se 0.268 0.071 0.005
Se3 Se 0.272 0.597 0.916
I1 I 0.317 0.768 0.456
# Electronic total energy (eV/cell): -45.45


Entry 8:
# Pu2Te2Br | the Alexandria database | PBE | relaxed
data_Pu2Te2Br
_cell_length_a 14.057
_cell_length_b 6.261
_cell_length_c 8.934
_cell_angle_alpha 90.00
_cell_angle_beta 111.54
_cell_angle_gamma 90.00
_symmetry_space_group_name_H-M 'C 1 2/m 1'
_symmetry_Int_Tables_number 12
loop_
_symmetry_equiv_pos_as_xyz
'x,y,z'
'-x,-y,-z'
'-x,y,-z'
'x,-y,z'
'x+1/2,y+1/2,z'
'-x+1/2,-y+1/2,-z'
'-x+1/2,y+1/2,-z'
'x+1/2,-y+1/2,z'
loop_
_atom_site_label
_atom_site_type_symbol
_atom_site_fract_x
_atom_site_fract_y
_atom_site_fract_z
Pu1 Pu 0.009 0.000 0.260
Pu2 Pu 0.167 0.500 0.081
Te1 Te 0.012 0.500 0.255
Te2 Te 0.171 0.000 0.086
Br1 Br 0.153 0.000 0.600
# Electronic total energy (eV/cell): -168.67


Entry 9:
# LaMgSc2 | the Alexandria database | PBE | relaxed
data_LaMgSc2
_cell_length_a 3.329
_cell_length_b 4.849
_cell_length_c 6.672
_cell_angle_alpha 90.00
_cell_angle_beta 90.00
_cell_angle_gamma 90.00
_symmetry_space_group_name_H-M 'P m m m'
_symmetry_Int_Tables_number 47
loop_
_symmetry_equiv_pos_as_xyz
'x,y,z'
'-x,-y,-z'
'-x,-y,z'
'x,y,-z'
'x,-y,-z'
'-x,y,z'
'-x,y,-z'
'x,-y,z'
loop_
_atom_site_label
_atom_site_type_symbol
_atom_site_fract_x
_atom_site_fract_y
_atom_site_fract_z
La1 La 0.000 0.000 0.000
Mg1 Mg 0.000 0.000 0.500
Sc1 Sc 0.500 0.500 0.259
# Electronic total energy (eV/cell): -18.79


Entry 10:
# Pa2Co3Ge4Pd | the Alexandria database | PBE | relaxed
data_Pa2Co3Ge4Pd
_cell_length_a 4.095
_cell_length_b 4.095
_cell_length_c 9.752
_cell_angle_alpha 90.00
_cell_angle_beta 90.00
_cell_angle_gamma 90.00
_symmetry_space_group_name_H-M 'P -4 m 2'
_symmetry_Int_Tables_number 115
loop_
_symmetry_equiv_pos_as_xyz
'x,y,z'
'y,-x,-z'
'-x,-y,z'
'-y,x,-z'
'-x,y,z'
'-y,-x,-z'
'x,-y,z'
'y,x,-z'
loop_
_atom_site_label
_atom_site_type_symbol
_atom_site_fract_x
_atom_site_fract_y
_atom_site_fract_z
Pa1 Pa 0.000 0.500 0.244
Co1 Co 0.000 0.500 0.877
Co2 Co 0.500 0.500 0.500
Ge1 Ge 0.000 0.000 0.000
Ge2 Ge 0.000 0.500 0.642
Ge3 Ge 0.500 0.500 0.000
Pd1 Pd 0.000 0.000 0.500
# Electronic total energy (eV/cell): -69.65


Entry 11:
# La6TlCo2 | the Alexandria database | PBE | relaxed
data_La6TlCo2
_cell_length_a 9.522
_cell_length_b 10.446
_cell_length_c 10.611
_cell_angle_alpha 90.00
_cell_angle_beta 90.00
_cell_angle_gamma 90.00
_symmetry_space_group_name_H-M 'I m m m'
_symmetry_Int_Tables_number 71
_symmetry_space_group_name_Hall '-I 2 2'
loop_
_atom_site_label
_atom_site_type_symbol
_atom_site_fract_x
_atom_site_fract_y
_atom_site_fract_z
La1 La 0.000 0.208 0.225
La2 La 0.184 0.500 0.166
La3 La 0.198 0.327 0.500
Tl1 Tl 0.000 0.000 0.000
Tl2 Tl 0.000 0.000 0.500
Co1 Co 0.000 0.294 0.000
Co2 Co 0.000 0.500 0.357
# Electronic total energy (eV/cell): -191.42


Entry 12:
# Hg3OF2 | the Alexandria database | PBE | relaxed
data_Hg3OF2
_cell_length_a 12.894
_cell_length_b 3.838
_cell_length_c 9.093
_cell_angle_alpha 90.00
_cell_angle_beta 90.00
_cell_angle_gamma 90.00
_symmetry_space_group_name_H-M 'C m c m'
_symmetry_Int_Tables_number 63
_symmetry_space_group_name_Hall '-C 2c 2'
loop_
_atom_site_label
_atom_site_type_symbol
_atom_site_fract_x
_atom_site_fract_y
_atom_site_fract_z
Hg1 Hg 0.000 0.000 0.000
Hg2 Hg 0.170 0.293 0.250
O1 O 0.000 0.089 0.250
F1 F 0.119 0.500 0.000
# Electronic total energy (eV/cell): -56.97